DFT (PBE-GGA) results for a relaxed structure of PrGeAu3.

Results
Crystal system = monoclinic
Space-group type = Cm
Calculated formation energy = -0.522 eV per atom

a b c (Å): 5.0455 5.0455 5.2213
angles (deg): 64.31 64.31 81.68
Positions (direct):
1 Pr 0.6061 0.6061 0.7962
2 Au 0.9212 0.9212 0.0112
3 Au 0.3003 0.8752 0.3283
4 Au 0.8752 0.3003 0.3283
5 Ge 0.2984 0.2984 0.5336